The following is a GGA-PBE calculation of a relaxed structure of EuHoAgHg, from Alexandria.

Cell and atoms, written as CIF:
```
data_EuHoAgHg
_cell_length_a 5.297
_cell_length_b 5.297
_cell_length_c 5.297
_cell_angle_alpha 60.00
_cell_angle_beta 60.00
_cell_angle_gamma 60.00
_symmetry_space_group_name_H-M 'P 1'
_symmetry_Int_Tables_number 1
_symmetry_space_group_name_Hall 'P 1'
loop_
_atom_site_label
_atom_site_fract_x
_atom_site_fract_y
_atom_site_fract_z
_atom_site_occupancy
Eu1 0.250 0.250 0.250 1
Hg1 0.500 0.500 0.500 1
Ag1 0.000 0.000 0.000 1
Ho1 0.750 0.750 0.750 1
```

* E_form: -373 meV/atom
* symmetry: No. 216
* DFT total energy: -4.874 eV/atom

---

The following is a GGA-PBE calculation of a relaxed structure of ScRhPb2O6, from Alexandria.

Cell and atoms, written as CIF:
```
data_ScRhPb2O6
_cell_length_a 5.676
_cell_length_b 5.718
_cell_length_c 8.056
_cell_angle_alpha 90.00
_cell_angle_beta 90.03
_cell_angle_gamma 90.00
_symmetry_space_group_name_H-M 'P 1'
_symmetry_Int_Tables_number 1
_symmetry_space_group_name_Hall 'P 1'
loop_
_atom_site_label
_atom_site_fract_x
_atom_site_fract_y
_atom_site_fract_z
_atom_site_occupancy
Sc1 0.500 0.000 0.000 1
Sc2 0.000 0.500 0.500 1
Rh1 0.500 0.000 0.500 1
Rh2 0.000 0.500 0.000 1
Pb1 0.008 0.964 0.250 1
Pb2 0.508 0.536 0.750 1
Pb3 0.992 0.036 0.750 1
Pb4 0.492 0.464 0.250 1
O1 0.279 0.707 0.043 1
O2 0.779 0.793 0.543 1
O3 0.721 0.293 0.957 1
O4 0.221 0.207 0.457 1
O5 0.298 0.718 0.459 1
O6 0.798 0.782 0.959 1
O7 0.702 0.282 0.541 1
O8 0.202 0.218 0.041 1
O9 0.919 0.522 0.243 1
O10 0.419 0.978 0.743 1
O11 0.081 0.478 0.757 1
O12 0.581 0.022 0.257 1
```

* symmetry: No. 14
* raw formation energy: -15.3 eV/f.u.
* DFT total energy: -6.613 eV/atom

---

The following is a GGA-PBE calculation of a relaxed structure of BeSbOs2, from Alexandria.

Cell and atoms, written as CIF:
```
data_BeSbOs2
_cell_length_a 4.418
_cell_length_b 4.418
_cell_length_c 4.418
_cell_angle_alpha 60.00
_cell_angle_beta 60.00
_cell_angle_gamma 60.00
_symmetry_space_group_name_H-M 'P 1'
_symmetry_Int_Tables_number 1
_symmetry_space_group_name_Hall 'P 1'
loop_
_atom_site_label
_atom_site_fract_x
_atom_site_fract_y
_atom_site_fract_z
_atom_site_occupancy
Sb1 0.750 0.750 0.750 1
Os1 0.000 0.000 0.000 1
Os2 0.250 0.250 0.250 1
Be1 0.500 0.500 0.500 1
```

* symmetry: No. 216
* polymorph energy (0 for the lowest one): 1.66 eV per formula unit
* raw formation energy: 2.9 eV/f.u.
* DFT total energy: -6.849 eV/atom

---

The following is a GGA-PBE calculation of a relaxed structure of NdCd2Cu9, from Alexandria.

Cell and atoms, written as CIF:
```
data_NdCd2Cu9
_cell_length_a 5.113
_cell_length_b 5.113
_cell_length_c 8.556
_cell_angle_alpha 72.61
_cell_angle_beta 72.61
_cell_angle_gamma 60.00
_symmetry_space_group_name_H-M 'P 1'
_symmetry_Int_Tables_number 1
_symmetry_space_group_name_Hall 'P 1'
loop_
_atom_site_label
_atom_site_fract_x
_atom_site_fract_y
_atom_site_fract_z
_atom_site_occupancy
Nd1 0.000 0.000 0.000 1
Cd1 0.856 0.856 0.432 1
Cd2 0.144 0.144 0.568 1
Cu1 0.667 0.667 0.000 1
Cu2 0.333 0.333 0.000 1
Cu3 0.500 0.500 0.500 1
Cu4 0.415 0.415 0.253 1
Cu5 0.918 0.415 0.253 1
Cu6 0.415 0.918 0.253 1
Cu7 0.585 0.585 0.747 1
Cu8 0.585 0.082 0.747 1
Cu9 0.082 0.585 0.747 1
```

* E_form: -106 meV/atom
* symmetry: No. 166
* DFT total energy: -3.728 eV/atom

---

- Which of these has the lowest DFT total energy?
  BeSbOs2

---

- Among the records above, which one has the lowest DFT total energy?
  BeSbOs2

---

- Which of these has the lowest DFT total energy?
  BeSbOs2

---

- Which value of DFT total energy does entry 3 give?
  -6.849 eV/atom